This record from Alexandria via LeMat-Bulk describes a relaxed structure of LaFeClO2. The functional is PBE+U.

## Properties
- total DFT energy (no corrections) (eV/atom) = -6.51

Unit cell a=6.7894 b=3.6096 c=7.1806 alpha=90.00 beta=105.55 gamma=90.00
Last column: nearest neighbours and their distance in Å.
Space group P2_1/m (No. 11)
Inequivalent atoms, fractional coordinates:
La 0.1816 0.2500 0.2112 x2  5 O 2.34-2.50
Fe 0.3391 0.2500 0.8598 x2  2 O 1.95-1.97
Cl 0.2992 0.7500 0.5839 x2  2 Fe 2.64
O 0.0469 0.2500 0.8523 x2  1 Fe 1.97
O 0.3637 0.7500 0.0825 x2  1 Fe 1.95